Computed, not measured: crystalline TaRe2Si at its relaxed geometry at the GGA-PBE level of DFT.

Cell lengths 3.066, 4.591, 8.568 Å; angles 90.00, 90.00, 90.00 degrees
Space group Immm (No. 71)
Unique sites:
Ta1 0.000 0.000 0.000 (multiplicity 2)
Re1 0.000 0.500 0.232 (multiplicity 4)
Si1 0.000 0.000 0.500 (multiplicity 2)

Computed, not measured: crystalline TaRe2Si at its relaxed geometry at the GGA-PBE level of DFT.

Cell lengths 3.149, 3.149, 6.043 Å; angles 90.00, 90.00, 90.00 degrees
Space group P4/mmm (No. 123)
Unique sites:
Ta1 0.000 0.000 0.000 (multiplicity 1)
Re1 0.500 0.500 0.266 (multiplicity 2)
Si1 0.000 0.000 0.500 (multiplicity 1)

Computed, not measured: crystalline TaRe2Si at its relaxed geometry at the GGA-PBE level of DFT.

Cell lengths 7.264, 7.264, 5.067 Å; angles 90.00, 90.00, 90.00 degrees
Space group I-42d (No. 122)
Unique sites:
Ta1 0.000 0.000 0.000 (multiplicity 4)
Re1 0.181 0.750 0.625 (multiplicity 8)
Si1 0.000 0.000 0.500 (multiplicity 4)

Computed, not measured: crystalline TaRe2Si at its relaxed geometry at the GGA-PBE level of DFT.

Cell lengths 9.886, 3.147, 4.254 Å; angles 90.00, 115.44, 90.00 degrees
Space group Cm (No. 8)
Unique sites:
Ta1 0.000 0.000 0.000 (multiplicity 2)
Re1 0.244 0.000 0.746 (multiplicity 2)
Re2 0.492 0.000 0.492 (multiplicity 2)
Si1 0.256 0.500 0.257 (multiplicity 2)

Computed, not measured: crystalline Ta2ReSi at its relaxed geometry at the GGA-PBE level of DFT.

Cell lengths 4.104, 4.104, 7.647 Å; angles 90.00, 90.00, 90.00 degrees
Space group I4/mmm (No. 139)
Unique sites:
Ta1 0.000 0.500 0.250 (multiplicity 4)
Re1 0.000 0.000 0.000 (multiplicity 2)
Si1 0.000 0.000 0.500 (multiplicity 2)

Computed, not measured: crystalline Ta2ReSi at its relaxed geometry at the GGA-PBE level of DFT.

Cell lengths 4.205, 3.208, 9.781 Å; angles 90.00, 90.00, 90.00 degrees
Space group Amm2 (No. 38)
Unique sites:
Ta1 0.000 0.000 0.000 (multiplicity 2)
Ta2 0.500 0.000 0.294 (multiplicity 2)
Re1 0.500 0.000 0.563 (multiplicity 2)
Si1 0.000 0.000 0.727 (multiplicity 2)

Computed, not measured: crystalline TaRe2Si at its relaxed geometry at the GGA-PBE level of DFT.

Cell lengths 3.197, 4.704, 8.137 Å; angles 90.00, 90.00, 90.00 degrees
Space group Cmmm (No. 65)
Unique sites:
Ta1 0.000 0.000 0.000 (multiplicity 2)
Re1 0.000 0.500 0.268 (multiplicity 4)
Si1 0.000 0.000 0.500 (multiplicity 2)

Computed, not measured: crystalline Ta2ReSi at its relaxed geometry at the GGA-PBE level of DFT.

Cell lengths 2.9768, 2.9768, 25.7695 Å; angles 90.00, 90.00, 120.00 degrees
Space group R-3m (No. 166, hexagonal axes)
Unique sites:
Ta1 0.0000 0.0000 0.2489 (multiplicity 6)
Re1 0.0000 0.0000 0.0000 (multiplicity 3)
Si1 0.0000 0.0000 0.5000 (multiplicity 3)

The records above give, respectively, density of states at the Fermi level values of 3.97, 2.24, 5.59, 2.21, 2.99, 2.45, 3.07, 4.66 states/eV/f.u..
The records above give, respectively, formation energy (no corrections) values of -0.42, -0.97, 2.26, -0.80, -0.52, -0.95, 0.00, 0.29 eV per formula unit.